MgPaBr6 | GGA-PBE | relaxed

Lattice parameters (Å, degrees): 7.6003 7.6003 6.8601 98.19 98.19 126.35
Site moments in Bohr magnetons follow the coordinates.
Atoms (fractional coordinates):
Mg (0.0000, 0.0000, 0.0000)  0.00
Pa (0.5000, 0.5000, 0.5000)  1.07
Br (0.2509, 0.2509, 0.7504)  -0.02
Br (0.3761, 0.0967, 0.2373)  -0.01
Br (0.7491, 0.7491, 0.2496)  -0.02
Br (0.9033, 0.6239, 0.7627)  -0.01
Br (0.6239, 0.9033, 0.7627)  -0.01
Br (0.0967, 0.3761, 0.2373)  -0.01

Output
As for the uncorrected formation energy: -1427 meV/atom. The symmetry is C2/m (12). The calculation puts the calculated total energy at -0.1495 hartree per atom.

Sr2HgBiH | GGA-PBE | relaxed

Lattice parameters (Å, degrees): 5.3603 5.3603 4.7142 90.00 90.00 90.00
Atoms (fractional coordinates):
Sr (0.0000, 0.5000, 0.0000)
Sr (0.5000, 0.0000, 0.0000)
Bi (0.5000, 0.5000, 0.5000)
H (0.0000, 0.0000, 0.0000)
Hg (0.0000, 0.0000, 0.5000)

Output
The symmetry is P4/mmm (123). The calculation puts the calculated total energy at -0.1006 hartree per atom.